# KMn2O4 (PBE with a Hubbard U, relaxed)
data_KMn2O4
_symmetry_space_group_name_H-M 'P -1'
_symmetry_Int_Tables_number 2
_cell_length_a 3.052
_cell_length_b 5.163
_cell_length_c 6.576
_cell_angle_alpha 105.17
_cell_angle_beta 91.27
_cell_angle_gamma 93.28
loop_
_symmetry_equiv_pos_as_xyz
'x,y,z'
'-x,-y,-z'
loop_
_atom_site_label
_atom_site_fract_x
_atom_site_fract_y
_atom_site_fract_z
K1 0.000 0.000 0.000
Mn1 0.000 0.500 0.500
Mn2 0.500 0.000 0.500
O1 0.024 0.209 0.655
O2 0.466 0.740 0.664
# - relative energy among the computed polymorphs (meV/atom) = 0
# - calculated volume (Å³/f.u.) = 100